[1]
The following is a DFT calculation (PBE) of a relaxed Pr5Nd2Ho6 crystal.

Structure (POSCAR):
```
Pr5Nd2Ho6
1.0
3.625 0.000 0.000
0.000 11.784 0.000
0.000 0.000 20.739
Pr Nd Ho
10 4 12
Direct
0.500 0.300 0.445
0.500 0.700 0.555
0.500 0.800 0.055
0.500 0.200 0.945
0.500 0.582 0.281
0.500 0.418 0.719
0.500 0.082 0.219
0.500 0.918 0.781
0.500 0.500 0.000
0.500 0.000 0.500
0.000 0.323 0.280
0.000 0.677 0.720
0.000 0.823 0.220
0.000 0.177 0.780
0.000 0.073 0.364
0.000 0.927 0.636
0.000 0.573 0.136
0.000 0.427 0.864
0.500 0.317 0.129
0.500 0.683 0.871
0.500 0.817 0.371
0.500 0.183 0.629
0.000 0.564 0.425
0.000 0.436 0.575
0.000 0.064 0.075
0.000 0.936 0.925
```

=====

[2]
The following is a DFT calculation (PBE) of a relaxed B5C7 crystal.

Values from the calculation:
The excess energy over the best structure of this formula in the dataset is 109 meV per atom.

Structure (POSCAR):
```
B5C7
1.0
2.609 0.000 0.000
0.000 4.614 -0.027
0.000 -0.037 6.591
B C
5 7
Direct
0.500 0.864 0.370
0.500 0.439 0.225
0.500 0.165 0.922
0.000 0.341 0.585
0.000 0.029 0.228
0.500 0.512 0.989
0.000 0.668 0.678
0.000 0.351 0.334
0.000 0.984 0.989
0.000 0.668 0.916
0.500 0.150 0.658
0.500 0.828 0.606
```

=====

[3]
The following is a DFT calculation (PBE) of a relaxed NiP2Se crystal.

Values from the calculation:
Its uncorrected formation energy is 0.2089 eV per atom.

Structure (POSCAR):
```
NiP2Se
1.0
-0.685 -3.216 0.131
2.887 -0.673 -1.428
2.703 -0.347 5.626
Ni P Se
1 2 1
Direct
0.500 0.500 0.758
0.000 0.000 0.011
0.500 0.500 0.122
0.000 0.000 0.609
```

=====

[4]
The following is a DFT calculation (PBE) of a relaxed La2TbPr2Er crystal.

Structure (POSCAR):
```
La2TbPr2Er
1.0
5.783 0.000 0.000
0.000 7.150 0.000
0.000 0.000 10.043
La Tb Pr Er
4 2 4 2
Direct
0.500 0.008 0.001
0.000 0.258 0.176
0.500 0.508 0.999
0.000 0.758 0.824
0.000 0.008 0.500
0.000 0.508 0.500
0.000 0.257 0.835
0.500 0.258 0.332
0.000 0.757 0.165
0.500 0.758 0.668
0.500 0.257 0.658
0.500 0.757 0.342
```

=====

[5]
The following is a DFT calculation (PBE) of a relaxed Ac3In2Hg crystal.

Values from the calculation:
The excess energy over the best structure of this formula in the dataset is 0 meV per atom.

Structure (POSCAR):
```
Ac3In2Hg
1.0
-0.825 -2.716 2.856
3.846 -1.191 -0.022
2.697 8.545 8.907
Ac In Hg
3 2 1
Direct
0.000 0.000 0.000
0.000 0.000 0.663
0.000 0.000 0.337
0.500 0.500 0.829
0.500 0.500 0.171
0.500 0.500 0.500
```

=====

[6]
The following is a DFT calculation (PBE) of a relaxed Sr2CuF crystal.

Values from the calculation:
The excess energy over the best structure of this formula in the dataset is 0 meV per atom. Its uncorrected formation energy is -1.2936 eV per atom.

Structure (POSCAR):
```
Sr2CuF
1.0
-2.079 0.514 -4.016
2.340 -0.565 -3.862
-1.802 -7.754 -2.639
Sr Cu F
2 1 1
Direct
0.096 0.096 0.712
0.904 0.904 0.288
0.500 0.500 0.500
0.000 0.000 0.000
```

=====

Taking the records one at a time from the top gives DFT total energy values of -119.38; -93.55; -19.25; -56.58; -20.72; -14.51 eV/cell.
Taking the records one at a time from the top gives theoretical density values of 7.43; 2.89; 4.90; 7.08; 9.01; 3.00 Mg/m³.
Taking the records one at a time from the top gives magnetization values of 0.00; 0.00; 0.00; 0.00; 0.00; 0.00 μB/f.u..